--- P ---
A relaxed structure of TlHgMo2. Source: the Alexandria database, functional GGA-PBEsol.

Cell lengths 2.8478, 2.8478, 8.8004 Å; angles 90.00, 90.00, 90.00 degrees
Last column: nearest neighbours and their distance in Å.
Space group P4/mmm (No. 123)
Symmetry-distinct sites (fractional):
Tl1 0.0000 0.0000 0.0000 x1  4 Tl 2.85, 8 Mo 3.02
Hg1 0.0000 0.0000 0.5000 x1  4 Hg 2.85, 8 Mo 2.95
Mo1 0.5000 0.5000 0.2555 x2  4 Mo 2.85, 4 Hg 2.95, 4 Tl 3.02

---

--- Q ---
A relaxed structure of TlHgMo2. Source: the Alexandria database, functional GGA-PBEsol.

Cell lengths 6.6117, 6.6117, 6.6117 Å; angles 90.00, 90.00, 90.00 degrees
Last column: nearest neighbours and their distance in Å.
Space group F-43m (No. 216)
Symmetry-distinct sites (fractional):
Tl1 0.0000 0.0000 0.0000 x4  4 Hg 2.86, 4 Mo 2.86
Hg1 0.2500 0.2500 0.2500 x4  4 Tl 2.86, 4 Mo 2.86
Mo1 0.0000 0.0000 0.5000 x4  4 Hg 2.86, 4 Mo 2.86
Mo2 0.2500 0.2500 0.7500 x4  4 Tl 2.86, 4 Mo 2.86

---

Most stable: P

---

--- P ---
A relaxed structure of YHg2Mo. Source: the Alexandria database, functional GGA-PBEsol.

Cell lengths 4.1868, 4.1868, 9.2607 Å; angles 90.00, 90.00, 90.00 degrees
Last column: nearest neighbours and their distance in Å.
Space group I-4m2 (No. 119)
Symmetry-distinct sites (fractional):
Y1 0.0000 0.0000 0.0000 x2  8 Hg 2.96-3.12, 4 Mo 3.12
Hg1 0.0000 0.0000 0.5000 x2  4 Y 2.96, 4 Hg 3.12, 4 Mo 3.12
Hg2 0.0000 0.5000 0.2500 x2  4 Mo 2.96, 4 Hg 3.12, 4 Y 3.12
Mo1 0.0000 0.5000 0.7500 x2  8 Hg 2.96-3.12, 4 Y 3.12

---

--- Q ---
A relaxed structure of YHg2Mo. Source: the Alexandria database, functional GGA-PBEsol.

Cell lengths 6.0481, 8.4488, 3.1091 Å; angles 90.00, 90.00, 90.00 degrees
Last column: nearest neighbours and their distance in Å.
Space group Cmmm (No. 65)
Symmetry-distinct sites (fractional):
Y1 0.0000 0.0000 0.0000 x2  2 Mo 3.02, 8 Hg 3.03, 2 Y 3.11
Hg1 0.2500 0.2500 0.5000 x4  4 Hg 3.02-3.11, 4 Mo 3.03, 4 Y 3.03
Mo1 0.0000 0.5000 0.0000 x2  2 Y 3.02, 8 Hg 3.03, 2 Mo 3.11

---

Most stable: Q

---

--- P ---
A relaxed structure of ZrHg2Mo. Source: the Alexandria database, functional GGA-PBEsol.

Cell lengths 2.9681, 4.8014, 5.2766 Å; angles 90.00, 92.50, 90.00 degrees
Last column: nearest neighbours and their distance in Å.
Space group Pm (No. 6)
Symmetry-distinct sites (fractional):
Zr1 0.0000 0.0000 0.0000 x1  8 Hg 2.86-3.10, 2 Mo 2.88, 2 Zr 2.97
Hg1 0.5413 0.0000 0.5122 x1  4 Zr 2.86-3.09, 4 Hg 2.89-2.97, 4 Mo 2.91-3.13
Hg2 0.5643 0.5000 0.2081 x1  4 Mo 2.86-3.17, 4 Hg 2.89-2.97, 4 Zr 2.96-3.10
Mo1 0.1318 0.5000 0.7126 x1  8 Hg 2.86-3.17, 2 Zr 2.88, 2 Mo 2.97

---

--- Q ---
A relaxed structure of ZrHg2Mo. Source: the Alexandria database, functional GGA-PBEsol.

Cell lengths 3.6042, 3.6042, 5.8243 Å; angles 90.00, 90.00, 90.00 degrees
Last column: nearest neighbours and their distance in Å.
Space group P4/mmm (No. 123)
Symmetry-distinct sites (fractional):
Zr1 0.0000 0.0000 0.0000 x1  2 Mo 2.91, 8 Hg 2.96
Hg1 0.5000 0.5000 0.2592 x2  2 Hg 2.81-3.02, 4 Mo 2.91, 4 Zr 2.96
Mo1 0.0000 0.0000 0.5000 x1  8 Hg 2.91, 2 Zr 2.91

---

Most stable: P

---

--- P ---
A relaxed structure of Na2Hg2Pd. Source: the Alexandria database, functional GGA-PBEsol.

Cell lengths 3.8243, 3.8243, 14.5422 Å; angles 90.00, 90.00, 90.00 degrees
Last column: nearest neighbours and their distance in Å.
Space group I4/mmm (No. 139)
Symmetry-distinct sites (fractional):
Na1 0.0000 0.5000 0.2500 x4  4 Na 2.70, 4 Hg 2.97
Hg1 0.0000 0.0000 0.0933 x4  1 Hg 2.71, 4 Na 2.97, 4 Pd 3.03
Pd1 0.0000 0.0000 0.5000 x2  8 Hg 3.03

---

--- Q ---
A relaxed structure of Na2Hg2Pd. Source: the Alexandria database, functional GGA-PBEsol.

Cell lengths 7.0512, 7.0512, 4.6576 Å; angles 90.00, 90.00, 90.00 degrees
Last column: nearest neighbours and their distance in Å.
Space group P4/mbm (No. 127)
Symmetry-distinct sites (fractional):
Na1 0.1731 0.3269 0.0000 x4  6 Hg 2.95-3.24
Hg1 0.1451 0.6451 0.5000 x4  2 Pd 2.70, 1 Hg 2.89, 2 Na 2.95
Pd1 0.0000 0.0000 0.5000 x2  4 Hg 2.70

---

Most stable: Q

---

--- P ---
A relaxed structure of NaSiHg3. Source: the Alexandria database, functional GGA-PBEsol.

Cell lengths 5.1922, 5.1922, 5.1922 Å; angles 90.00, 90.00, 90.00 degrees
Last column: nearest neighbours and their distance in Å.
Space group Pm-3m (No. 221)
Symmetry-distinct sites (fractional):
Na1 0.0000 0.0000 0.0000 x1  6 Hg 2.60
Si1 0.5000 0.5000 0.5000 x1  12 Hg 3.67
Hg1 0.0000 0.0000 0.5000 x3  2 Na 2.60

---

--- Q ---
A relaxed structure of NaSiHg3. Source: the Alexandria database, functional GGA-PBEsol.

Cell lengths 5.0758, 5.0758, 5.0758 Å; angles 90.00, 90.00, 90.00 degrees
Last column: nearest neighbours and their distance in Å.
Space group Pm-3m (No. 221)
Symmetry-distinct sites (fractional):
Na1 0.0000 0.0000 0.0000 x1  12 Hg 3.59
Si1 0.5000 0.5000 0.5000 x1  6 Hg 2.54
Hg1 0.0000 0.5000 0.5000 x3  2 Si 2.54

---

Most stable: Q

---

--- P ---
A relaxed structure of Na2SrHg2. Source: the Alexandria database, functional GGA-PBEsol.

Cell lengths 4.4895, 4.4895, 14.4404 Å; angles 90.00, 90.00, 90.00 degrees
Last column: nearest neighbours and their distance in Å.
Space group I4/mmm (No. 139)
Symmetry-distinct sites (fractional):
Na1 0.0000 0.5000 0.2500 x4  4 Hg 3.12, 4 Na 3.17
Sr1 0.0000 0.0000 0.0000 x2  8 Hg 3.49
Hg1 0.0000 0.0000 0.3998 x4  1 Hg 2.89, 4 Na 3.12

---

--- Q ---
A relaxed structure of Na2SrHg2. Source: the Alexandria database, functional GGA-PBEsol.

Cell lengths 8.2966, 8.2966, 4.3348 Å; angles 90.00, 90.00, 90.00 degrees
Last column: nearest neighbours and their distance in Å.
Space group P4/mbm (No. 127)
Symmetry-distinct sites (fractional):
Na1 0.1614 0.3386 0.0000 x4  6 Hg 3.24-3.30
Sr1 0.0000 0.0000 0.5000 x2  4 Hg 3.27
Hg1 0.1267 0.6267 0.5000 x4  1 Hg 2.97, 6 Na 3.24-3.30, 2 Sr 3.27

---

Most stable: P